Entry a
A plane-wave DFT calculation with PBE was carried out for a relaxed structure of ReGe2H2.

For the mass density, the calculation gives 9627 kg/m³.

a b c (Å): 4.6455 4.6455 4.2303
angles (deg): 56.70 56.70 90.00
Fractional positions:
Re  0.0000  0.0000  0.0000
Ge  0.7500  0.2500  0.5000
Ge  0.2500  0.7500  0.5000
H  0.3273  0.3273  0.3454
H  0.6727  0.6727  0.6546

Entry b
A plane-wave DFT calculation with PBE was carried out for a relaxed structure of ReGe2H2.

For the mass density, the calculation gives 10262 kg/m³.

a b c (Å): 5.8732 5.8732 3.1289
angles (deg): 90.00 90.00 90.00
Fractional positions:
Re  0.0000  0.0000  0.0000
Re  0.5000  0.5000  0.0000
Ge  0.1501  0.6501  0.5000
Ge  0.6501  0.8499  0.5000
Ge  0.8499  0.3499  0.5000
Ge  0.3499  0.1501  0.5000
H  0.3021  0.8021  0.0000
H  0.8021  0.6979  0.0000
H  0.6979  0.1979  0.0000
H  0.1979  0.3021  0.0000

Which structure is the least stable? The one labeled entry b.

Entry a
A plane-wave DFT calculation with PBE was carried out for a relaxed structure of GeH3Rh.

For the mass density, the calculation gives 6508 kg/m³.

a b c (Å): 3.5717 3.5717 3.5717
angles (deg): 90.00 90.00 90.00
Fractional positions:
H  0.0000  0.5000  0.0000
H  0.0000  0.0000  0.5000
H  0.5000  0.0000  0.0000
Ge  0.5000  0.5000  0.5000
Rh  0.0000  0.0000  0.0000

Entry b
A plane-wave DFT calculation with PBE was carried out for a relaxed structure of GeH3Rh.

For the mass density, the calculation gives 6478 kg/m³.

a b c (Å): 3.5772 3.5772 3.5772
angles (deg): 90.00 90.00 90.00
Fractional positions:
H  0.0000  0.5000  0.0000
H  0.0000  0.0000  0.5000
H  0.5000  0.0000  0.0000
Ge  0.0000  0.0000  0.0000
Rh  0.5000  0.5000  0.5000

Which structure is the least stable? The one labeled entry b.

Entry a
A plane-wave DFT calculation with PBE was carried out for a relaxed structure of Ge2HRu.

For the mass density, the calculation gives 7505 kg/m³.

a b c (Å): 4.2617 4.2617 4.2617
angles (deg): 60.00 60.00 60.00
Fractional positions:
Ru  0.5000  0.5000  0.5000
Ge  0.2500  0.2500  0.2500
Ge  0.7500  0.7500  0.7500
H  0.0000  0.0000  0.0000

Entry b
A plane-wave DFT calculation with PBE was carried out for a relaxed structure of Ge2HRu.

For the mass density, the calculation gives 6632 kg/m³.

a b c (Å): 4.7011 4.7011 6.5164
angles (deg): 68.86 68.86 90.00
Fractional positions:
Ru  0.0000  0.0000  0.0000
Ru  0.7500  0.2500  0.5000
Ge  0.5444  0.1250  0.2500
Ge  0.2056  0.6250  0.2500
Ge  0.3750  0.4556  0.7500
Ge  0.8750  0.7944  0.7500
H  0.5000  0.5000  0.0000
H  0.2500  0.7500  0.5000

Which structure is the least stable? The one labeled entry b.

Entry a
A plane-wave DFT calculation with PBE was carried out for a relaxed structure of GeH2Ru.

For the mass density, the calculation gives 7860 kg/m³.

a b c (Å): 3.7445 3.7445 3.7445
angles (deg): 60.00 60.00 60.00
Fractional positions:
Ru  0.5000  0.5000  0.5000
Ge  0.0000  0.0000  0.0000
H  0.2500  0.2500  0.2500
H  0.7500  0.7500  0.7500

Entry b
A plane-wave DFT calculation with PBE was carried out for a relaxed structure of GeH2Ru.

For the mass density, the calculation gives 6988 kg/m³.

a b c (Å): 3.7614 3.7614 6.4745
angles (deg): 73.11 73.11 90.00
Fractional positions:
Ru  0.0000  0.0000  0.0000
Ru  0.7500  0.2500  0.5000
Ge  0.5000  0.5000  0.0000
Ge  0.2500  0.7500  0.5000
H  0.7837  0.1250  0.2500
H  0.9663  0.6250  0.2500
H  0.3750  0.2163  0.7500
H  0.8750  0.0337  0.7500

Which structure is the least stable? The one labeled entry a.